1.
{
  "formula": "K14P16Pd9O56",
  "functional": "PBE-GGA",
  "state": "relaxed",
  "lattice_angstrom": [[-8.0510, -8.8180, -0.1351], [3.3812, -7.6228, -8.5471], [4.5151, -10.5962, 4.6306]],
  "species": ["K", "K", "K", "K", "K", "K", "K", "K", "K", "K", "K", "K", "K", "K", "O", "O", "O", "O", "O", "O", "O", "O", "O", "O", "O", "O", "O", "O", "O", "O", "O", "O", "O", "O", "O", "O", "O", "O", "O", "O", "O", "O", "O", "O", "O", "O", "O", "O", "O", "O", "O", "O", "O", "O", "O", "O", "O", "O", "O", "O", "O", "O", "O", "O", "O", "O", "O", "O", "O", "O", "P", "P", "P", "P", "P", "P", "P", "P", "P", "P", "P", "P", "P", "P", "P", "P", "Pd", "Pd", "Pd", "Pd", "Pd", "Pd", "Pd", "Pd", "Pd"],
  "fractional_positions": [[0.2558, 0.7442, 0.5000], [0.2484, 0.2484, 0.9987], [0.8413, 0.8413, 0.4044], [0.1562, 0.1562, 0.5984], [0.4199, 0.8759, 0.5859], [0.3624, 0.8850, 0.9034], [0.5828, 0.1244, 0.4129], [0.8759, 0.4199, 0.5859], [0.6504, 0.0908, 0.0952], [0.9996, 0.9996, 0.4993], [0.0908, 0.6504, 0.0952], [0.8850, 0.3624, 0.9034], [0.1244, 0.5828, 0.4129], [0.7442, 0.2558, 0.5000], [0.4035, 0.0701, 0.1890], [0.8786, 0.0836, 0.1232], [0.6562, 0.4416, 0.8303], [0.2682, 0.4807, 0.5742], [0.1245, 0.9203, 0.8696], [0.3811, 0.1844, 0.3332], [0.9367, 0.5965, 0.8038], [0.1844, 0.3811, 0.3332], [0.3947, 0.6078, 0.6679], [0.4226, 0.1579, 0.8061], [0.6194, 0.8152, 0.6681], [0.1459, 0.8198, 0.3136], [0.9888, 0.7415, 0.5788], [0.8437, 0.5718, 0.1999], [0.4807, 0.2682, 0.5742], [0.8198, 0.1459, 0.3136], [0.0247, 0.7524, 0.8786], [0.5718, 0.8437, 0.1999], [0.7289, 0.5170, 0.4306], [0.5870, 0.2414, 0.8829], [0.9733, 0.9733, 0.7493], [0.2553, 0.2553, 0.7093], [0.2070, 0.2070, 0.2503], [0.0701, 0.4035, 0.1890], [0.8152, 0.6194, 0.6681], [0.0703, 0.3931, 0.6587], [0.9256, 0.6067, 0.3476], [0.9821, 0.2488, 0.1147], [0.5579, 0.3438, 0.1731], [0.3904, 0.6033, 0.3374], [0.5965, 0.9367, 0.8038], [0.2617, 0.0098, 0.4159], [0.0836, 0.8786, 0.1232], [0.1579, 0.4226, 0.8061], [0.7415, 0.7415, 0.2939], [0.6033, 0.3904, 0.3374], [0.0098, 0.2617, 0.4159], [0.7524, 0.0247, 0.8786], [0.4416, 0.6562, 0.8303], [0.7580, 0.4093, 0.1236], [0.4093, 0.7580, 0.1236], [0.3931, 0.0703, 0.6587], [0.5646, 0.5646, 0.1495], [0.3438, 0.5579, 0.1731], [0.5170, 0.7289, 0.4306], [0.9203, 0.1245, 0.8696], [0.0285, 0.0285, 0.2456], [0.1831, 0.8591, 0.6790], [0.8591, 0.1831, 0.6790], [0.7952, 0.7952, 0.7474], [0.2488, 0.9821, 0.1147], [0.7415, 0.9888, 0.5788], [0.4345, 0.4345, 0.8562], [0.2414, 0.5870, 0.8829], [0.6067, 0.9256, 0.3476], [0.6078, 0.3947, 0.6679], [0.6866, 0.8923, 0.6949], [0.9198, 0.1341, 0.1983], [0.8923, 0.6866, 0.6949], [0.8685, 0.0830, 0.7955], [0.6007, 0.8148, 0.3193], [0.4216, 0.6229, 0.1991], [0.8148, 0.6007, 0.3193], [0.1826, 0.3969, 0.6850], [0.1085, 0.3165, 0.3031], [0.6229, 0.4216, 0.1991], [0.3969, 0.1826, 0.6850], [0.1341, 0.9198, 0.1983], [0.5785, 0.3761, 0.8053], [0.3165, 0.1085, 0.3031], [0.0830, 0.8685, 0.7955], [0.3761, 0.5785, 0.8053], [0.5645, 0.5645, 0.5500], [0.0925, 0.5931, 0.8337], [0.4068, 0.9096, 0.1655], [0.3694, 0.3694, 0.2500], [0.0020, 0.0020, 0.9962], [0.9096, 0.4068, 0.1655], [0.6312, 0.6312, 0.7518], [0.4339, 0.4339, 0.4548], [0.5931, 0.0925, 0.8337]],
  "spacegroup": "Cm, No. 8",
  "e_tot_ev_per_atom": -6.392
}



2.
{
  "formula": "SiS2",
  "functional": "PBE-GGA",
  "state": "relaxed",
  "lattice_angstrom": [[-4.0878, -3.6361, -1.1197], [2.3488, -3.9124, 4.1105], [-2.1761, 6.0088, 2.3742]],
  "species": ["Si", "Si", "S", "S", "S", "S"],
  "fractional_positions": [[0.7500, 0.0000, 0.0000], [0.2500, 0.0000, 0.0000], [0.3934, 0.0821, 0.7874], [0.8935, 0.7056, 0.7870], [0.1064, 0.2944, 0.2130], [0.6065, 0.9179, 0.2126]],
  "spacegroup": "Ibam, No. 72",
  "e_tot_ev_per_atom": -5.238
}



3.
{
  "formula": "ZnCu",
  "functional": "PBE-GGA",
  "state": "relaxed",
  "lattice_angstrom": [[2.0769, -3.5972, 0.0000], [2.0769, 3.5972, 0.0000], [0.0000, 0.0000, 7.5829]],
  "species": ["Cu", "Cu", "Cu", "Cu", "Zn", "Zn", "Zn", "Zn"],
  "fractional_positions": [[0.0000, 0.0000, 0.2500], [0.0000, 0.0000, 0.7500], [0.3333, 0.6667, 0.7500], [0.6667, 0.3333, 0.2500], [0.6667, 0.3333, 0.5808], [0.3333, 0.6667, 0.0808], [0.3333, 0.6667, 0.4192], [0.6667, 0.3333, 0.9192]],
  "formation_energy_ev_per_fu": 0.088,
  "spacegroup": "P6_3/mmc, No. 194",
  "e_tot_ev_per_atom": -2.641
}



4.
{
  "formula": "HgAs2",
  "functional": "PBE-GGA",
  "state": "relaxed",
  "lattice_angstrom": [[-5.9693, -0.7653, -5.6578], [-5.0756, -3.0006, -0.5278], [3.2136, 3.4521, 3.5775]],
  "species": ["As", "As", "Hg"],
  "fractional_positions": [[0.8092, 0.7987, 0.0105], [0.1908, 0.2013, 0.9895], [0.0000, 0.0000, 0.0000]],
  "formation_energy_ev_per_fu": 0.161,
  "spacegroup": "C2/m, No. 12",
  "e_tot_ev_per_atom": -3.147
}



5.
{
  "formula": "Tb2Nd8Al",
  "functional": "PBE-GGA",
  "state": "relaxed",
  "lattice_angstrom": [[-0.7716, -4.2795, -3.3618], [-2.9234, -4.3531, 6.2124], [-5.9665, 6.6501, -2.6028]],
  "species": ["Nd", "Nd", "Nd", "Nd", "Nd", "Nd", "Nd", "Nd", "Tb", "Tb", "Al"],
  "fractional_positions": [[0.8243, 0.7793, 0.6485], [0.0162, 0.7692, 0.0325], [0.1757, 0.2207, 0.3515], [0.6022, 0.4226, 0.2045], [0.9838, 0.2308, 0.9675], [0.6618, 0.9148, 0.3236], [0.3382, 0.0852, 0.6764], [0.3978, 0.5774, 0.7955], [0.1916, 0.6544, 0.3832], [0.8084, 0.3456, 0.6168], [0.5000, 0.0000, 0.0000]],
  "formation_energy_ev_per_fu": 0.363,
  "spacegroup": "C2/m, No. 12",
  "e_tot_ev_per_atom": -4.617
}



6.
{
  "formula": "TiIn3N",
  "functional": "PBE-GGA",
  "state": "relaxed",
  "lattice_angstrom": [[-0.5720, 4.9641, -1.9355], [-5.1388, -1.0282, -1.1184], [-1.4074, 1.7367, 4.8702]],
  "species": ["In", "In", "In", "Ti", "N"],
  "fractional_positions": [[0.0000, 0.0000, 0.5000], [0.0000, 0.5000, 0.0000], [0.5000, 0.0000, 0.0000], [0.0000, 0.0000, 0.0000], [0.5000, 0.5000, 0.5000]],
  "spacegroup": "Pm-3m, No. 221",
  "e_tot_ev_per_atom": -3.232
}



7.
{
  "formula": "CsNaCd2Cu",
  "functional": "PBE-GGA",
  "state": "relaxed",
  "lattice_angstrom": [[5.3000, 0.0000, 0.0000], [0.0000, 5.3000, 0.0000], [0.0000, 0.0000, 5.7617]],
  "species": ["Cd", "Cd", "Cu", "Cs", "Na"],
  "fractional_positions": [[0.5000, 0.0000, 0.0000], [0.0000, 0.5000, 0.0000], [0.0000, 0.0000, 0.0000], [0.5000, 0.5000, 0.5000], [0.0000, 0.0000, 0.5000]],
  "formation_energy_ev_per_fu": 0.370,
  "spacegroup": "P4/mmm, No. 123",
  "e_tot_ev_per_atom": -1.546
}



8.
{
  "formula": "ReOs2W",
  "functional": "PBE-GGA",
  "state": "relaxed",
  "lattice_angstrom": [[4.4132, 0.0000, 0.0000], [2.2066, 3.8220, 0.0000], [2.2066, 1.2740, 3.6034]],
  "species": ["Os", "Os", "Re", "W"],
  "fractional_positions": [[0.0000, 0.0000, 0.0000], [0.7500, 0.7500, 0.7500], [0.5000, 0.5000, 0.5000], [0.2500, 0.2500, 0.2500]],
  "formation_energy_ev_per_fu": 1.958,
  "spacegroup": "F-43m, No. 216",
  "e_tot_ev_per_atom": -11.476
}



9.
{
  "formula": "AcPrSiCl",
  "functional": "PBE-GGA",
  "state": "relaxed",
  "lattice_angstrom": [[-3.8566, 3.3798, -1.4025], [-1.0258, 0.8769, -5.1422], [-4.4915, -1.8429, -2.1665]],
  "species": ["Ac", "Cl", "Si", "Pr"],
  "fractional_positions": [[0.0000, 0.0000, 0.0000], [0.2500, 0.2500, 0.2500], [0.7500, 0.7500, 0.7500], [0.5000, 0.5000, 0.5000]],
  "spacegroup": "F-43m, No. 216",
  "e_tot_ev_per_atom": -5.019
}



10.
{
  "formula": "Te2Pb",
  "functional": "PBE-GGA",
  "state": "relaxed",
  "lattice_angstrom": [[-3.3361, 3.0283, -2.9466], [-5.0515, 0.8378, 1.6623], [-1.4820, 4.8666, 1.7614]],
  "species": ["Te", "Te", "Pb"],
  "fractional_positions": [[0.7500, 0.7500, 0.7500], [0.2500, 0.2500, 0.2500], [0.0000, 0.0000, 0.0000]],
  "spacegroup": "Fm-3m, No. 225",
  "e_tot_ev_per_atom": -3.253
}



11.
{
  "formula": "TaTlCo2",
  "functional": "PBE-GGA",
  "state": "relaxed",
  "lattice_angstrom": [[-4.6609, -0.0453, 6.2913], [-6.7109, -0.6837, 3.9754], [-4.9828, -3.0054, 5.2390]],
  "species": ["Co", "Co", "Ta", "Tl"],
  "fractional_positions": [[0.5090, 0.5090, 0.5090], [0.9910, 0.9910, 0.9910], [0.2500, 0.2500, 0.2500], [0.7500, 0.7500, 0.7500]],
  "formation_energy_ev_per_fu": 1.373,
  "spacegroup": "R-3m, No. 166",
  "e_tot_ev_per_atom": -6.765
}



12.
{
  "formula": "Rb3Mn2PbBr9",
  "functional": "PBE-GGA",
  "state": "relaxed",
  "lattice_angstrom": [[7.8330, 0.0000, 0.0000], [-3.9165, 6.7836, 0.0000], [0.0000, 0.0000, 9.8100]],
  "species": ["Br", "Br", "Br", "Br", "Br", "Br", "Br", "Br", "Br", "Rb", "Rb", "Rb", "Mn", "Mn", "Pb"],
  "fractional_positions": [[0.1742, 0.8258, 0.3138], [0.8258, 0.1742, 0.6862], [0.0000, 0.5000, 0.0000], [0.6516, 0.8258, 0.3138], [0.3484, 0.1742, 0.6862], [0.5000, 0.5000, 0.0000], [0.5000, 0.0000, 0.0000], [0.8258, 0.6516, 0.6862], [0.1742, 0.3484, 0.3138], [0.6667, 0.3333, 0.3052], [0.0000, 0.0000, 0.0000], [0.3333, 0.6667, 0.6948], [0.6667, 0.3333, 0.8433], [0.3333, 0.6667, 0.1567], [0.0000, 0.0000, 0.5000]],
  "spacegroup": "P-3m1, No. 164",
  "e_tot_ev_per_atom": -3.849
}